[1]
# Ni2RuAu GGA-PBE optimized geometry
# calculated density: 12609 kg/m3
# total magnetic moment: 0.000 μB per atom
# offset from the most stable computed form: 0.057 eV per atom
# DFT formation energy: 0.193 eV/atom
# energy: -5.836 eV/atom
data_Ni2RuAu
_cell_length_a 2.7130
_cell_length_b 2.7130
_cell_length_c 25.7468
_cell_angle_alpha 90.00
_cell_angle_beta 90.00
_cell_angle_gamma 120.00
_symmetry_space_group_name_H-M 'R -3 m'
_symmetry_Int_Tables_number 166
_symmetry_space_group_name_Hall '-R 3 2"'
loop_
_atom_site_label
_atom_site_fract_x
_atom_site_fract_y
_atom_site_fract_z
Ni1 0.0000 0.0000 0.2450
Ru1 0.0000 0.0000 0.5000
Au1 0.0000 0.0000 0.0000

[2]
# NiRu2Au GGA-PBE optimized geometry
# calculated density: 13183 kg/m3
# total magnetic moment: 0.000 μB per atom
# offset from the most stable computed form: 0.367 eV per atom
# DFT formation energy: 0.541 eV/atom
# energy: -6.362 eV/atom
data_NiRu2Au
_cell_length_a 6.133
_cell_length_b 6.133
_cell_length_c 6.133
_cell_angle_alpha 90.00
_cell_angle_beta 90.00
_cell_angle_gamma 90.00
_symmetry_space_group_name_H-M 'F m -3 m'
_symmetry_Int_Tables_number 225
_symmetry_space_group_name_Hall '-F 4 2 3'
loop_
_atom_site_label
_atom_site_fract_x
_atom_site_fract_y
_atom_site_fract_z
Ni1 0.000 0.000 0.000
Ru1 0.250 0.250 0.250
Au1 0.000 0.000 0.500

[3]
# Ni2RuAu GGA-PBE optimized geometry
# calculated density: 11496 kg/m3
# total magnetic moment: 0.649 μB per atom
# offset from the most stable computed form: 0.504 eV per atom
# DFT formation energy: 0.641 eV/atom
# energy: -5.388 eV/atom
data_Ni2RuAu
_cell_length_a 6.704
_cell_length_b 6.704
_cell_length_c 5.341
_cell_angle_alpha 90.00
_cell_angle_beta 90.00
_cell_angle_gamma 90.00
_symmetry_space_group_name_H-M 'I -4 2 d'
_symmetry_Int_Tables_number 122
_symmetry_space_group_name_Hall 'I -4 2bw'
loop_
_atom_site_label
_atom_site_fract_x
_atom_site_fract_y
_atom_site_fract_z
Ni1 0.232 0.250 0.125
Ru1 0.000 0.000 0.000
Au1 0.000 0.000 0.500

[4]
# NiRuAu GGA-PBE optimized geometry
# calculated density: 12171 kg/m3
# total magnetic moment: 0.487 μB per atom
# offset from the most stable computed form: 0.478 eV per atom
# DFT formation energy: 0.600 eV/atom
# energy: -5.512 eV/atom
data_NiRuAu
_cell_length_a 5.796
_cell_length_b 5.796
_cell_length_c 5.796
_cell_angle_alpha 90.00
_cell_angle_beta 90.00
_cell_angle_gamma 90.00
_symmetry_space_group_name_H-M 'F -4 3 m'
_symmetry_Int_Tables_number 216
_symmetry_space_group_name_Hall 'F -4 2 3'
loop_
_atom_site_label
_atom_site_fract_x
_atom_site_fract_y
_atom_site_fract_z
Ni1 0.000 0.000 0.000
Ru1 0.250 0.250 0.750
Au1 0.250 0.250 0.250

[5]
# Ni2RuAu GGA-PBE optimized geometry
# calculated density: 12579 kg/m3
# total magnetic moment: 0.192 μB per atom
# offset from the most stable computed form: 0.129 eV per atom
# DFT formation energy: 0.266 eV/atom
# energy: -5.763 eV/atom
data_Ni2RuAu
_cell_length_a 2.7103
_cell_length_b 2.7103
_cell_length_c 25.8602
_cell_angle_alpha 90.00
_cell_angle_beta 90.00
_cell_angle_gamma 120.00
_symmetry_space_group_name_H-M 'R 3 m'
_symmetry_Int_Tables_number 160
_symmetry_space_group_name_Hall 'R 3 -2"'
loop_
_atom_site_label
_atom_site_fract_x
_atom_site_fract_y
_atom_site_fract_z
Ni1 0.0000 0.0000 0.0000
Ni2 0.0000 0.0000 0.2591
Ru1 0.0000 0.0000 0.7434
Au1 0.0000 0.0000 0.5057

[6]
# NiSnRuAu GGA-PBE optimized geometry
# calculated density: 12416 kg/m3
# total magnetic moment: 0.000 μB per atom
# DFT formation energy: 0.061 eV/atom
# energy: -5.523 eV/atom
data_NiSnRuAu
_cell_length_a 6.336
_cell_length_b 6.336
_cell_length_c 6.336
_cell_angle_alpha 90.00
_cell_angle_beta 90.00
_cell_angle_gamma 90.00
_symmetry_space_group_name_H-M 'F -4 3 m'
_symmetry_Int_Tables_number 216
_symmetry_space_group_name_Hall 'F -4 2 3'
loop_
_atom_site_label
_atom_site_fract_x
_atom_site_fract_y
_atom_site_fract_z
Ni1 0.000 0.000 0.000
Sn1 0.250 0.250 0.750
Ru1 0.000 0.000 0.500
Au1 0.250 0.250 0.250

Q: Which of these has the highest total magnetic moment?
A: number 3

Q: What is the formula in the first record?
A: Ni2RuAu